A plane-wave DFT calculation with GGA-PBE was carried out for Cs2ZnF after structural relaxation.

Distance to the lowest polymorph of the same formula = 0 meV per atom
E_form (uncorrected) = -1.1230 eV per atom

Cell: 8.7040 8.7040 10.2009 Å, 90.00 90.00 90.00°
With the nearest neighbours (Å) after each atom.
Space group I-42d (No. 122)
Asymmetric unit:
Cs 0.1486 0.2500 0.1250 (multiplicity 8)  2 F 2.83
Zn 0.0000 0.0000 0.5000 (multiplicity 4)  4 Cs 3.96
F 0.0000 0.0000 0.0000 (multiplicity 4)  4 Cs 2.83

---

A plane-wave DFT calculation with GGA-PBE was carried out for Cs2Zn3F8 after structural relaxation.

E_form (uncorrected) = -2.4701 eV per atom

Cell: 13.9531 6.5364 5.5567 Å, 90.00 108.63 90.00°
With the nearest neighbours (Å) after each atom.
Space group C2/m (No. 12)
Asymmetric unit:
Cs 0.2227 0.0000 0.1812 (multiplicity 4)  4 F 2.85-2.96
Zn 0.0000 0.2422 0.5000 (multiplicity 4)  6 F 2.03-2.22
Zn 0.0000 0.5000 0.0000 (multiplicity 2)  6 F 2.05-2.14
F 0.0792 0.2855 0.8719 (multiplicity 8)  2 Zn 2.03-2.05
F 0.0832 0.5000 0.3968 (multiplicity 4)  3 Zn 2.14-2.22
F 0.0938 0.0000 0.4880 (multiplicity 4)  2 Zn 2.07

---

A plane-wave DFT calculation with GGA-PBE was carried out for CsZn2F2 after structural relaxation.

Distance to the lowest polymorph of the same formula = 0 meV per atom
E_form (uncorrected) = -1.2497 eV per atom

Cell: 4.6711 4.6711 9.4185 Å, 90.00 90.00 90.00°
With the nearest neighbours (Å) after each atom.
Space group I4/mmm (No. 139)
Asymmetric unit:
Cs 0.0000 0.0000 0.0000 (multiplicity 2)  8 F 3.32, 10 Zn 3.38-3.56
Zn 0.0000 0.0000 0.3584 (multiplicity 4)  4 F 2.55, 1 Zn 2.67
F 0.0000 0.5000 0.2500 (multiplicity 4)  4 Zn 2.55

---

A plane-wave DFT calculation with GGA-PBE was carried out for Cs4ZnF5 after structural relaxation.

E_form (uncorrected) = -2.2961 eV per atom

Cell: 9.1711 9.1711 6.1222 Å, 90.00 90.00 90.00°
With the nearest neighbours (Å) after each atom.
Space group I4 (No. 79)
Asymmetric unit:
Cs 0.1006 0.7073 0.0000 (multiplicity 8)  6 F 2.93-3.21
Zn 0.0000 0.0000 0.4988 (multiplicity 2)  1 F 1.97
F 0.0000 0.0000 0.8202 (multiplicity 2)  1 Zn 1.97
F 0.0859 0.7275 0.4977 (multiplicity 8)  1 Zn 2.62, 1 Cs 2.93

---

A plane-wave DFT calculation with GGA-PBE was carried out for CsZnF after structural relaxation.

E_form (uncorrected) = -1.5289 eV per atom

Cell: 7.7533 4.4765 10.3143 Å, 90.00 104.49 90.00°
With the nearest neighbours (Å) after each atom.
Space group Cm (No. 8)
Asymmetric unit:
Cs 0.0000 0.0000 0.0000 (multiplicity 2)  3 F 2.93
Cs 0.0520 0.5000 0.6566 (multiplicity 2)  3 F 2.90
Zn 0.2714 0.5000 0.3173 (multiplicity 2)  1 F 2.07
Zn 0.4259 0.0000 0.2807 (multiplicity 2)  3 Zn 2.61
F 0.2875 0.0000 0.8613 (multiplicity 2)  3 Cs 2.93
F 0.3413 0.5000 0.5248 (multiplicity 2)  1 Zn 2.07

---

A plane-wave DFT calculation with GGA-PBE was carried out for CsZn2F4 after structural relaxation.

E_form (uncorrected) = -2.0242 eV per atom

Cell: 3.6744 10.7502 11.2701 Å, 90.00 90.00 90.00°
With the nearest neighbours (Å) after each atom.
Space group Cmcm (No. 63)
Asymmetric unit:
Cs 0.0000 0.1142 0.2500 (multiplicity 4)  9 F 2.97-3.07
Zn 0.0000 0.3768 0.0576 (multiplicity 8)  6 F 2.14-2.36
F 0.0000 0.0000 0.0000 (multiplicity 4)  4 Zn 2.36
F 0.0000 0.2442 0.5844 (multiplicity 8)  3 Zn 2.14-2.27
F 0.0000 0.3974 0.2500 (multiplicity 4)  2 Zn 2.18

---

A plane-wave DFT calculation with GGA-PBE was carried out for CsZn2F2 after structural relaxation.

Distance to the lowest polymorph of the same formula = 3 meV per atom
E_form (uncorrected) = -1.2462 eV per atom

Cell: 8.6112 8.6112 3.5980 Å, 90.00 90.00 90.00°
With the nearest neighbours (Å) after each atom.
Space group P4/mbm (No. 127)
Asymmetric unit:
Cs 0.0000 0.0000 0.0000 (multiplicity 2)  4 Zn 3.54, 8 F 3.58, 2 Cs 3.60
Zn 0.1010 0.3990 0.0000 (multiplicity 4)  2 F 2.18
F 0.2017 0.2983 0.5000 (multiplicity 4)  2 Zn 2.18

---

A plane-wave DFT calculation with GGA-PBE was carried out for Cs2Zn2F5 after structural relaxation.

E_form (uncorrected) = -2.2157 eV per atom

Cell: 12.1842 4.3728 7.2525 Å, 90.00 103.94 90.00°
With the nearest neighbours (Å) after each atom.
Space group C2/m (No. 12)
Asymmetric unit:
Cs 0.0985 0.0000 0.3308 (multiplicity 4)  7 F 3.03-3.38
Zn 0.1547 0.5000 0.9086 (multiplicity 4)  5 F 1.99-2.21
F 0.0000 0.5000 0.0000 (multiplicity 2)  2 Zn 2.14
F 0.1367 0.5000 0.6291 (multiplicity 4)  1 Zn 1.99
F 0.1671 0.0000 0.9478 (multiplicity 4)  3 Zn 2.17-2.21